[1]
# PBE TbNd2ZnSe5, optimized geometry
# DFT total energy, eV per atom: -5.2383
# Spin magnetization, μB per cell: 0.0
data_TbNd2ZnSe5
_cell_length_a 4.0323
_cell_length_b 17.8426
_cell_length_c 12.5026
_cell_angle_alpha 90.00
_cell_angle_beta 90.00
_cell_angle_gamma 90.00
_space_group_name_H-M_alt 'C m c 21'
_space_group_IT_number 36
loop_
_space_group_symop_operation_xyz
'x,y,z'
'-x,-y,z+1/2'
'-x,y,z'
'x,-y,z+1/2'
'x+1/2,y+1/2,z'
'-x+1/2,-y+1/2,z+1/2'
'-x+1/2,y+1/2,z'
'x+1/2,-y+1/2,z+1/2'
loop_
_atom_site_label
_atom_site_fract_x
_atom_site_fract_y
_atom_site_fract_z
Tb1 0.0000 0.1969 0.0000
Nd1 0.0000 0.1153 0.6683
Nd2 0.0000 0.1303 0.3025
Zn1 0.0000 0.4490 0.4309
Se1 0.0000 0.0398 0.0405
Se2 0.0000 0.2900 0.6620
Se3 0.0000 0.3156 0.3361
Se4 0.0000 0.3564 0.9882
Se5 0.0000 0.4944 0.7565

---

[2]
# PBE Nd3Te2Se2, optimized geometry
# ΔE to the lowest computed polymorph, meV/atom: 0
# DFT total energy, eV per atom: -5.6027
# Spin magnetization, μB per cell: 0.0
data_Nd3Te2Se2
_cell_length_a 14.7820
_cell_length_b 4.4231
_cell_length_c 7.5103
_cell_angle_alpha 90.00
_cell_angle_beta 104.37
_cell_angle_gamma 90.00
_space_group_name_H-M_alt 'C 1 2/m 1'
_space_group_IT_number 12
loop_
_space_group_symop_operation_xyz
'x,y,z'
'-x,-y,-z'
'-x,y,-z'
'x,-y,z'
'x+1/2,y+1/2,z'
'-x+1/2,-y+1/2,-z'
'-x+1/2,y+1/2,-z'
'x+1/2,-y+1/2,z'
loop_
_atom_site_label
_atom_site_fract_x
_atom_site_fract_y
_atom_site_fract_z
Nd1 0.0000 0.0000 0.0000
Nd2 0.2498 0.0000 0.7386
Te1 0.1160 0.5000 0.8473
Se1 0.1374 0.0000 0.3576

---

[3]
# PBE Nd2TeSe, optimized geometry
# ΔE to the lowest computed polymorph, meV/atom: 208
# DFT total energy, eV per atom: -5.4895
# Spin magnetization, μB per cell: 0.9
data_Nd2TeSe
_cell_length_a 3.7752
_cell_length_b 3.7752
_cell_length_c 7.5591
_cell_angle_alpha 90.00
_cell_angle_beta 90.00
_cell_angle_gamma 90.00
_space_group_name_H-M_alt 'P 4/m m m'
_space_group_IT_number 123
_space_group_name_Hall '-P 4 2'
loop_
_atom_site_label
_atom_site_fract_x
_atom_site_fract_y
_atom_site_fract_z
Nd1 0.0000 0.0000 0.2414
Te1 0.5000 0.5000 0.5000
Se1 0.5000 0.5000 0.0000

---

[4]
# PBE Nd5Te4Se, optimized geometry
# DFT total energy, eV per atom: -5.4859
# Spin magnetization, μB per cell: 0.0
data_Nd5Te4Se
_cell_length_a 4.4075
_cell_length_b 4.4075
_cell_length_c 32.1472
_cell_angle_alpha 90.00
_cell_angle_beta 90.00
_cell_angle_gamma 90.00
_space_group_name_H-M_alt 'I 4/m m m'
_space_group_IT_number 139
_space_group_name_Hall '-I 4 2'
loop_
_atom_site_label
_atom_site_fract_x
_atom_site_fract_y
_atom_site_fract_z
Nd1 0.0000 0.0000 0.0000
Nd2 0.0000 0.0000 0.2092
Nd3 0.0000 0.0000 0.4108
Te1 0.0000 0.0000 0.1022
Te2 0.0000 0.0000 0.3082
Se1 0.0000 0.0000 0.5000

---

Calculated energy relative to the elements, uncorrected in order - -1.5869; -1.6661; -1.4490; -1.4969 eV/atom